The following is a GGA-PBE calculation of a relaxed structure of SbTe2AuBr, from the Alexandria database.

Properties
Symmetry   No. 123
Calculated total energy   -1.960 eV per atom
D(E_F)   7.64 states/eV per cell
Raw formation energy   536 kJ/mol of formula units
Relative energy among the computed polymorphs   60.19 kJ/mol of atoms

Geometry as CIF:
```
data_SbTe2AuBr
_chemical_formula_sum 'Sb1 Te2 Au1 Br1'
_cell_length_a 5.592
_cell_length_b 5.592
_cell_length_c 5.560
_cell_angle_alpha 90.00
_cell_angle_beta 90.00
_cell_angle_gamma 90.00
_symmetry_space_group_name_H-M 'P 1'
_symmetry_Int_Tables_number 1
loop_
_symmetry_equiv_pos_as_xyz
'x,y,z'
loop_
_atom_site_label
_atom_site_type_symbol
_atom_site_fract_x
_atom_site_fract_y
_atom_site_fract_z
Sb1 Sb 0.000 0.000 0.500
Te1 Te 0.000 0.500 0.000
Te2 Te 0.500 0.000 0.000
Br1 Br 0.000 0.000 0.000
Au1 Au 0.500 0.500 0.500
```